Density functional theory data (PBEsol) for a geometry-optimized Fe2SiAg structure.

POSCAR file:
```
Fe2SiAg
1.0
-1.6133 2.0290 3.8576
1.6133 -2.0290 3.8576
1.6133 2.0290 -3.8576
Fe Si Ag
2 1 1
direct
0.2292 0.2292 0.0000
0.7708 0.7708 0.0000
0.0000 0.5000 0.5000
0.5000 0.0000 0.5000
```

Results
The calculation puts the energy at -26.54 eV/cell. The magnetization is 4.273 μB/f.u. For the density, the calculation gives 8.14 g/cm³. Its space group is Immm. The value obtained for the calculated volume is 50.5 Å³/f.u.